VASP calculation (GGA-PBE) on a relaxed TmAl3 crystal.

Properties
Electronic total energy   -34.6 eV/cell
Symmetry   P6_3/mmc

Cell lengths 6.170, 6.170, 4.646 Å; angles 90.00, 90.00, 120.00 degrees
Fractional coordinates of all 8 atoms:
Tm 0.667 0.333 0.250
Al 0.701 0.851 0.250
Al 0.851 0.701 0.750
Tm 0.333 0.667 0.750
Al 0.149 0.851 0.250
Al 0.851 0.149 0.750
Al 0.299 0.149 0.750
Al 0.149 0.299 0.250

***

VASP calculation (GGA-PBE) on a relaxed SmSi2AgIr crystal.

Properties
Electronic total energy   -30.3 eV/cell
Symmetry   I-4m2

Cell lengths 5.885, 5.885, 5.885 Å; angles 138.34, 138.34, 60.38 degrees
Fractional coordinates of all 5 atoms:
Si 0.883 0.883 0.000
Sm 0.500 0.500 0.000
Si 0.117 0.117 0.000
Ir 0.750 0.250 0.500
Ag 0.250 0.750 0.500

***

VASP calculation (GGA-PBE) on a relaxed HoTmFe2Sn crystal.

Properties
Electronic total energy   -31.2 eV/cell
Symmetry   Amm2

Cell lengths 3.742, 7.207, 7.207 Å; angles 31.19, 90.00, 90.00 degrees
Each line ends with the local moment (μB).
Fractional coordinates of all 5 atoms:
Fe 0.500 0.203 0.203  1.82
Sn 0.500 0.001 0.001  -0.05
Fe 0.500 0.796 0.796  1.82
Tm 0.000 0.635 0.635  -0.25
Ho 0.000 0.365 0.365  -0.24

***

VASP calculation (GGA-PBE) on a relaxed RbCuTe2MoSe crystal.

Properties
Electronic total energy   -54.5 eV/cell
Symmetry   Cmcm

Cell lengths 8.406, 8.406, 10.237 Å; angles 90.00, 90.00, 152.24 degrees
Each line ends with the local moment (μB).
Fractional coordinates of all 12 atoms:
Te 0.883 0.117 0.545  -0.05
Cu 0.973 0.027 0.750  -0.02
Te 0.117 0.883 0.045  -0.05
Cu 0.027 0.973 0.250  -0.02
Te 0.117 0.883 0.455  -0.05
Mo 0.500 0.500 0.000  1.95
Rb 0.243 0.757 0.750  0.00
Mo 0.500 0.500 0.500  1.95
Se 0.442 0.558 0.250  -0.05
Te 0.883 0.117 0.955  -0.05
Se 0.558 0.442 0.750  -0.05
Rb 0.757 0.243 0.250  0.00

***

VASP calculation (GGA-PBE) on a relaxed CsGd2CuTe3Se crystal.

Properties
Symmetry   Cmcm
Energy above the lowest structure with this stoichiometry   0.0000 eV per atom

Cell lengths 8.073, 8.073, 15.232 Å; angles 90.00, 90.00, 148.52 degrees
Fractional coordinates of all 16 atoms:
Te 0.736 0.264 0.611
Te 0.736 0.264 0.889
Gd 0.633 0.367 0.429
Te 0.264 0.736 0.389
Gd 0.367 0.633 0.929
Cu 0.839 0.161 0.750
Gd 0.633 0.367 0.071
Te 0.000 0.000 0.500
Cs 0.902 0.098 0.250
Cs 0.098 0.902 0.750
Te 0.000 0.000 0.000
Cu 0.161 0.839 0.250
Se 0.421 0.579 0.750
Se 0.579 0.421 0.250
Te 0.264 0.736 0.111
Gd 0.367 0.633 0.571

***

VASP calculation (GGA-PBE) on a relaxed NbAgPO crystal.

Properties
Symmetry   Pmc2_1
Energy above the lowest structure with this stoichiometry   0.0000 eV per atom

Cell lengths 3.322, 6.536, 6.071 Å; angles 90.00, 90.00, 90.00 degrees
Fractional coordinates of all 8 atoms:
P 0.000 0.202 0.293
Ag 0.000 0.502 0.040
O 0.500 0.191 0.849
P 0.000 0.798 0.793
Nb 0.500 0.951 0.072
O 0.500 0.809 0.349
Ag 0.000 0.498 0.540
Nb 0.500 0.049 0.572

***

VASP calculation (GGA-PBE) on a relaxed PrHo2As3 crystal.

Properties
Electronic total energy   -36.9 eV/cell
Symmetry   P-3m1

Cell lengths 4.166, 4.166, 10.195 Å; angles 90.00, 90.00, 120.00 degrees
Fractional coordinates of all 6 atoms:
As 0.000 0.000 0.000
As 0.333 0.667 0.322
Ho 0.667 0.333 0.161
As 0.667 0.333 0.678
Ho 0.333 0.667 0.839
Pr 0.000 0.000 0.500

***

VASP calculation (GGA-PBE) on a relaxed DyEr4Lu2Te2Pt2 crystal.

Properties
Electronic total energy   -61.7 eV/cell
Symmetry   Imm2

Cell lengths 9.292, 9.292, 9.292 Å; angles 155.54, 67.12, 118.60 degrees
Fractional coordinates of all 11 atoms:
Lu 0.690 0.374 0.317
Pt 0.832 0.069 0.763
Er 0.378 0.733 0.645
Er 0.088 0.733 0.355
Te 0.337 0.337 0.000
Er 0.451 0.582 0.869
Te 0.735 0.235 0.500
Pt 0.305 0.069 0.237
Lu 0.057 0.374 0.683
Dy 0.999 0.999 0.000
Er 0.714 0.582 0.131

***

VASP calculation (GGA-PBE) on a relaxed CdBiSb crystal.

Properties
Symmetry   F-43m
Energy above the lowest structure with this stoichiometry   0.0418 eV per atom

Cell lengths 5.206, 5.206, 5.206 Å; angles 60.00, 60.00, 60.00 degrees
Fractional coordinates of all 3 atoms:
Cd 0.750 0.750 0.750
Bi 0.250 0.250 0.250
Sb 0.000 0.000 0.000

***

VASP calculation (GGA-PBE) on a relaxed Na2ZnInAg2Au2 crystal.

Properties
Electronic total energy   -20.0 eV/cell
Symmetry   P-4m2

Cell lengths 4.728, 4.728, 6.858 Å; angles 90.00, 90.00, 90.00 degrees
Fractional coordinates of all 8 atoms:
Na 0.500 0.500 0.000
In 0.000 0.000 0.000
Ag 0.000 0.500 0.268
Ag 0.500 0.000 0.732
Au 0.500 0.000 0.266
Au 0.000 0.500 0.734
Na 0.000 0.000 0.500
Zn 0.500 0.500 0.500

***

VASP calculation (GGA-PBE) on a relaxed BaCdSO crystal.

Properties
Electronic total energy   -34.1 eV/cell
Symmetry   P4/nmm

Cell lengths 4.078, 4.078, 10.905 Å; angles 90.00, 90.00, 90.00 degrees
Fractional coordinates of all 8 atoms:
O 0.750 0.750 0.596
Cd 0.750 0.250 0.000
Ba 0.750 0.750 0.372
Ba 0.250 0.250 0.628
O 0.250 0.250 0.404
S 0.750 0.750 0.842
Cd 0.250 0.750 0.000
S 0.250 0.250 0.158

***

VASP calculation (GGA-PBE) on a relaxed RbHoAgSe3 crystal.

Properties
Electronic total energy   -51.1 eV/cell
Symmetry   Cmcm

Cell lengths 8.088, 8.088, 10.740 Å; angles 90.00, 90.00, 150.61 degrees
Fractional coordinates of all 12 atoms:
Ho 0.000 0.000 0.500
Se 0.929 0.071 0.750
Rb 0.751 0.249 0.250
Ag 0.536 0.464 0.750
Ho 0.000 0.000 0.000
Se 0.375 0.625 0.455
Se 0.625 0.375 0.955
Se 0.071 0.929 0.250
Se 0.625 0.375 0.545
Rb 0.249 0.751 0.750
Ag 0.464 0.536 0.250
Se 0.375 0.625 0.045

***

VASP calculation (GGA-PBE) on a relaxed ZrO4 crystal.

Properties
Symmetry   P2/c
Energy above the lowest structure with this stoichiometry   0.0000 eV per atom

Cell lengths 3.376, 6.881, 6.177 Å; angles 90.00, 121.06, 90.00 degrees
Each line ends with the local moment (μB).
Fractional coordinates of all 10 atoms:
O 0.360 0.554 0.005  0.23
O 0.739 0.858 0.990  0.02
O 0.261 0.858 0.510  0.02
Zr 0.000 0.922 0.750  0.01
O 0.739 0.142 0.490  0.02
Zr 0.000 0.078 0.250  0.01
O 0.261 0.142 0.010  0.02
O 0.360 0.446 0.505  0.24
O 0.640 0.554 0.495  0.24
O 0.640 0.446 0.995  0.23

***

VASP calculation (GGA-PBE) on a relaxed TbTlBi crystal.

Properties
Electronic total energy   -11.2 eV/cell
Symmetry   F-43m

Cell lengths 5.223, 5.223, 5.223 Å; angles 60.00, 60.00, 60.00 degrees
Fractional coordinates of all 3 atoms:
Tb 0.750 0.750 0.750
Bi 0.250 0.250 0.250
Tl 0.000 0.000 0.000

***

VASP calculation (GGA-PBE) on a relaxed La6Zn4Pd13 crystal.

Properties
Symmetry   Im-3m
Formation energy from the elements   -0.82 eV/atom

Cell lengths 8.465, 8.465, 8.465 Å; angles 109.47, 109.47, 109.47 degrees
Fractional coordinates of all 23 atoms:
La 0.000 0.304 0.304
Zn 0.500 0.500 0.500
Pd 0.000 0.000 0.000
Zn 0.000 0.000 0.500
Pd 0.330 0.330 0.660
La 0.304 0.000 0.304
Pd 0.330 0.660 0.330
La 0.696 0.000 0.696
Zn 0.500 0.000 0.000
Pd 0.670 0.670 0.340
Pd 0.330 0.000 0.670
Pd 0.670 0.340 0.670
La 0.304 0.304 0.000
Pd 0.660 0.330 0.330
Pd 0.330 0.670 0.000
Pd 0.670 0.330 0.000
Zn 0.000 0.500 0.000
Pd 0.000 0.670 0.330
Pd 0.000 0.330 0.670
Pd 0.340 0.670 0.670
La 0.000 0.696 0.696
La 0.696 0.696 0.000
Pd 0.670 0.000 0.330

***

VASP calculation (GGA-PBE) on a relaxed PaGeAu crystal.

Properties
Electronic total energy   -17.6 eV/cell
Symmetry   F-43m

Cell lengths 4.672, 4.672, 4.672 Å; angles 60.00, 60.00, 60.00 degrees
Fractional coordinates of all 3 atoms:
Pa 0.750 0.750 0.750
Au 0.250 0.250 0.250
Ge 0.000 0.000 0.000

***

VASP calculation (GGA-PBE) on a relaxed As2OsO crystal.

Properties
Electronic total energy   -47.8 eV/cell
Symmetry   P4/nmm

Cell lengths 3.462, 3.462, 10.129 Å; angles 90.00, 90.00, 90.00 degrees
Fractional coordinates of all 8 atoms:
As 0.750 0.250 0.500
Os 0.750 0.750 0.874
Os 0.250 0.250 0.126
O 0.250 0.750 0.000
As 0.750 0.750 0.249
As 0.250 0.750 0.500
O 0.750 0.250 0.000
As 0.250 0.250 0.751

***

VASP calculation (GGA-PBE) on a relaxed YFeTcSn crystal.

Properties
Symmetry   F-43m
Energy above the lowest structure with this stoichiometry   0.0000 eV per atom

Cell lengths 4.667, 4.667, 4.667 Å; angles 60.00, 60.00, 60.00 degrees
Fractional coordinates of all 4 atoms:
Sn 0.000 0.000 0.000
Tc 0.250 0.250 0.250
Y 0.500 0.500 0.500
Fe 0.750 0.750 0.750

***

VASP calculation (GGA-PBE) on a relaxed CdIr crystal.

Properties
Symmetry   Fm-3m
Formation energy from the elements   1.02 eV/atom

Cell lengths 3.810, 3.810, 3.810 Å; angles 60.00, 60.00, 60.00 degrees
Each line ends with the local moment (μB).
Fractional coordinates of all 2 atoms:
Ir 0.500 0.500 0.500  0.11
Cd 0.000 0.000 0.000  0.00

***

VASP calculation (GGA-PBE) on a relaxed RbTaBr6 crystal.

Properties
Symmetry   C2/c
Energy above the lowest structure with this stoichiometry   0.0000 eV per atom

Cell lengths 7.220, 7.220, 12.938 Å; angles 100.42, 100.42, 56.17 degrees
Fractional coordinates of all 16 atoms:
Br 0.093 0.205 0.034
Br 0.472 0.683 0.895
Br 0.907 0.795 0.966
Br 0.806 0.620 0.667
Ta 0.000 0.500 0.500
Rb 0.086 0.914 0.250
Br 0.528 0.317 0.105
Ta 0.500 0.000 0.000
Br 0.194 0.380 0.333
Br 0.205 0.093 0.534
Br 0.317 0.528 0.605
Br 0.380 0.194 0.833
Br 0.620 0.806 0.167
Br 0.795 0.907 0.466
Rb 0.914 0.086 0.750
Br 0.683 0.472 0.395

***

VASP calculation (GGA-PBE) on a relaxed Pr3Cu2Si2Ge2Pd2 crystal.

Properties
Symmetry   Immm
Energy above the lowest structure with this stoichiometry   0.0000 eV per atom

Cell lengths 12.749, 12.749, 12.749 Å; angles 161.34, 160.57, 27.07 degrees
Fractional coordinates of all 11 atoms:
Si 0.301 0.801 0.500
Pd 0.601 0.101 0.500
Pr 0.846 0.346 0.500
Pd 0.399 0.899 0.500
Pr 0.500 0.500 0.000
Si 0.699 0.199 0.500
Cu 0.750 0.750 0.000
Ge 0.950 0.950 0.000
Cu 0.250 0.250 0.000
Pr 0.154 0.654 0.500
Ge 0.050 0.050 0.000

***

VASP calculation (GGA-PBE) on a relaxed KGdBi crystal.

Properties
Electronic total energy   -8.5 eV/cell
Symmetry   F-43m

Cell lengths 5.423, 5.423, 5.423 Å; angles 60.00, 60.00, 60.00 degrees
Each line ends with the local moment (μB).
Fractional coordinates of all 3 atoms:
K 0.000 0.000 0.000  0.02
Bi 0.750 0.750 0.750  -0.03
Gd 0.250 0.250 0.250  0.37

***

VASP calculation (GGA-PBE) on a relaxed Nd2Au crystal.

Properties
Symmetry   Pnma
Formation energy from the elements   -0.55 eV/atom

Cell lengths 7.285, 5.080, 9.316 Å; angles 90.00, 90.00, 90.00 degrees
Fractional coordinates of all 12 atoms:
Nd 0.993 0.250 0.823
Au 0.740 0.750 0.596
Nd 0.152 0.750 0.585
Au 0.260 0.250 0.404
Nd 0.007 0.750 0.177
Nd 0.848 0.250 0.415
Nd 0.507 0.750 0.323
Nd 0.652 0.750 0.915
Au 0.240 0.750 0.904
Au 0.760 0.250 0.096
Nd 0.348 0.250 0.085
Nd 0.493 0.250 0.677

***

VASP calculation (GGA-PBE) on a relaxed Mg2HgGe crystal.

Properties
Electronic total energy   -7.8 eV/cell
Symmetry   F-43m

Cell lengths 4.957, 4.957, 4.957 Å; angles 60.00, 60.00, 60.00 degrees
Fractional coordinates of all 4 atoms:
Hg 0.250 0.250 0.250
Mg 0.000 0.000 0.000
Ge 0.500 0.500 0.500
Mg 0.750 0.750 0.750